Material: KTl2Fe
Method: DFT, PBE
State: relaxed

For the volume, the calculation gives 24.8 Å³ per atom. The density of states at the Fermi level comes out at 15.0 states/eV/f.u. The calculation puts the formation energy at 19.064 kcal/mol of atoms. As for the total magnetic moment: 0.25 μB/cell. The uncorrected energy comes out at -2.747 eV/atom.

The structure belongs to space group Fm-3m (No. 225); the cell edges are 7.348, 7.348 and 7.348 Å and the angles 90.00°, 90.00° and 90.00°. The asymmetric unit holds K at (0.000, 0.000, 0.000), Tl at (0.250, 0.250, 0.250) and Fe at (0.000, 0.000, 0.500).

Material: KTlFe2
Method: DFT, PBE
State: relaxed

For the volume, the calculation gives 25.9 Å³ per atom. The density of states at the Fermi level comes out at 2.6 states/eV/f.u. The calculation puts the formation energy at 16.299 kcal/mol of atoms. As for the total magnetic moment: 5.62 μB/cell. The uncorrected energy comes out at -4.390 eV/atom. The energy above the lowest structure with this stoichiometry comes out at 0.89 eV per formula unit.

The structure belongs to space group P2/m (No. 10); the cell edges are 3.129, 4.886 and 6.819 Å and the angles 90.00°, 96.73° and 90.00°. The asymmetric unit holds K at (0.000, 0.000, 0.000), Tl at (0.500, 0.000, 0.500) and Fe at (0.265, 0.500, 0.626).